Entry from Alexandria: a relaxed structure of Ho2Zn5HgRu2 (PBE-GGA).

Output
crystal system: tetragonal
volume: 18.5 A^3/atom
DOS(E_F): 0.60 states/eV/atom
size of the total moment: 0.0 μB/cell
formation enthalpy at 0 K: -0.176 eV per atom

```
20
Lattice="9.438 0.000 0.000 0.000 9.438 0.000 0.000 0.000 4.159" Properties=species:S:1:pos:R:3 pbc="T T T"
Ho 1.653 3.066 0.000
Ho 3.066 7.785 0.000
Ho 6.372 1.653 0.000
Ho 7.785 6.372 0.000
Zn 0.000 4.719 2.080
Zn 0.613 7.411 2.080
Zn 2.027 0.613 2.080
Zn 2.692 5.332 2.080
Zn 4.106 2.692 2.080
Zn 4.719 0.000 2.080
Zn 5.332 6.746 2.080
Zn 6.746 4.106 2.080
Zn 7.411 8.825 2.080
Zn 8.825 2.027 2.080
Hg 0.000 0.000 0.000
Hg 4.719 4.719 0.000
Ru 1.130 5.849 0.000
Ru 3.589 1.130 0.000
Ru 5.849 8.308 0.000
Ru 8.308 3.589 0.000
```